No. 1
A geometry-optimized Pm2WN4 structure. Source: Alexandria, functional PBE-GGA.

```
Pm2WN4
1.0
5.922 0.000 0.000
0.000 5.998 0.000
-2.184 0.000 6.485
Pm W N
4 2 8
direct
0.178 0.250 0.026
0.266 0.250 0.561
0.734 0.750 0.439
0.822 0.750 0.974
0.269 0.750 0.807
0.731 0.250 0.193
0.049 0.509 0.747
0.049 0.991 0.747
0.455 0.750 0.083
0.477 0.750 0.651
0.523 0.250 0.349
0.545 0.250 0.917
0.951 0.009 0.253
0.951 0.491 0.253
```

Summary:
The calculation puts the energy above the most stable polymorph in this dataset at 0.098 eV per atom. The formation energy from raw total energies comes out at -1.062 eV/atom. As for the total energy: -126.4 eV per cell. For the total magnetization, the calculation gives 0.00 μB/cell.



No. 2
A geometry-optimized Pm3W2N6 structure. Source: Alexandria, functional PBE-GGA.

```
Pm3W2N6
1.0
-1.996 1.996 9.692
1.996 -1.996 9.692
1.996 1.996 -9.692
Pm W N
3 2 6
direct
0.000 0.000 0.000
0.181 0.181 0.000
0.819 0.819 0.000
0.403 0.403 0.000
0.597 0.597 0.000
0.087 0.587 0.500
0.302 0.302 0.000
0.413 0.913 0.500
0.587 0.087 0.500
0.698 0.698 0.000
0.913 0.413 0.500
```

Summary:
The formation energy from raw total energies comes out at -1.067 eV/atom. As for the total energy: -101.9 eV per cell. Its density of states at the Fermi level is 3.16 states/eV per cell. For the total magnetization, the calculation gives 0.00 μB/cell.



No. 3
A geometry-optimized Pm5W3N12 structure. Source: Alexandria, functional PBE-GGA.

```
Pm5W3N12
1.0
-6.577 6.577 6.577
6.577 -6.577 6.577
6.577 6.577 -6.577
Pm W N
20 12 48
direct
0.000 0.000 0.000
0.000 0.000 0.500
0.000 0.500 0.000
0.000 0.500 0.500
0.125 0.750 0.875
0.125 0.875 0.250
0.250 0.125 0.875
0.250 0.625 0.375
0.375 0.250 0.625
0.375 0.625 0.750
0.500 0.000 0.000
0.500 0.000 0.500
0.500 0.500 0.000
0.500 0.500 0.500
0.625 0.375 0.250
0.625 0.750 0.375
0.750 0.375 0.625
0.750 0.875 0.125
0.875 0.125 0.750
0.875 0.250 0.125
0.125 0.250 0.375
0.125 0.375 0.750
0.250 0.375 0.125
0.250 0.875 0.625
0.375 0.125 0.250
0.375 0.750 0.125
0.625 0.250 0.875
0.625 0.875 0.750
0.750 0.125 0.375
0.750 0.625 0.875
0.875 0.625 0.250
0.875 0.750 0.625
0.075 0.675 0.398
0.075 0.900 0.677
0.100 0.277 0.175
0.100 0.323 0.925
0.102 0.777 0.677
0.102 0.825 0.425
0.175 0.100 0.277
0.175 0.575 0.898
0.177 0.277 0.602
0.177 0.400 0.575
0.223 0.323 0.898
0.223 0.400 0.325
0.277 0.175 0.100
0.277 0.602 0.177
0.323 0.898 0.223
0.323 0.925 0.100
0.325 0.223 0.400
0.325 0.602 0.925
0.398 0.075 0.675
0.398 0.823 0.723
0.400 0.325 0.223
0.400 0.575 0.177
0.425 0.102 0.825
0.425 0.823 0.600
0.575 0.177 0.400
0.575 0.898 0.175
0.600 0.425 0.823
0.600 0.675 0.777
0.602 0.177 0.277
0.602 0.925 0.325
0.675 0.398 0.075
0.675 0.777 0.600
0.677 0.075 0.900
0.677 0.102 0.777
0.723 0.398 0.823
0.723 0.825 0.900
0.777 0.600 0.675
0.777 0.677 0.102
0.823 0.600 0.425
0.823 0.723 0.398
0.825 0.425 0.102
0.825 0.900 0.723
0.898 0.175 0.575
0.898 0.223 0.323
0.900 0.677 0.075
0.900 0.723 0.825
0.925 0.100 0.323
0.925 0.325 0.602
```

Summary:
The formation energy from raw total energies comes out at 0.081 eV/atom. As for the total energy: -643.6 eV per cell. Its density of states at the Fermi level is 61.54 states/eV per cell. For the total magnetization, the calculation gives 0.00 μB/cell.



No. 4
A geometry-optimized Pm3W5N12 structure. Source: Alexandria, functional PBE-GGA.

```
Pm3W5N12
1.0
-6.486 6.486 6.486
6.486 -6.486 6.486
6.486 6.486 -6.486
Pm W N
12 20 48
direct
0.125 0.250 0.375
0.125 0.375 0.750
0.250 0.375 0.125
0.250 0.875 0.625
0.375 0.125 0.250
0.375 0.750 0.125
0.625 0.250 0.875
0.625 0.875 0.750
0.750 0.125 0.375
0.750 0.625 0.875
0.875 0.625 0.250
0.875 0.750 0.625
0.000 0.000 0.000
0.000 0.000 0.500
0.000 0.500 0.000
0.000 0.500 0.500
0.125 0.750 0.875
0.125 0.875 0.250
0.250 0.125 0.875
0.250 0.625 0.375
0.375 0.250 0.625
0.375 0.625 0.750
0.500 0.000 0.000
0.500 0.000 0.500
0.500 0.500 0.000
0.500 0.500 0.500
0.625 0.375 0.250
0.625 0.750 0.375
0.750 0.375 0.625
0.750 0.875 0.125
0.875 0.125 0.750
0.875 0.250 0.125
0.015 0.196 0.114
0.015 0.319 0.900
0.081 0.696 0.681
0.081 0.886 0.400
0.100 0.614 0.419
0.100 0.985 0.681
0.114 0.015 0.196
0.114 0.600 0.919
0.181 0.196 0.581
0.181 0.485 0.600
0.196 0.114 0.015
0.196 0.581 0.181
0.304 0.319 0.919
0.304 0.485 0.386
0.319 0.900 0.015
0.319 0.919 0.304
0.386 0.304 0.485
0.386 0.581 0.900
0.400 0.081 0.886
0.400 0.819 0.515
0.419 0.100 0.614
0.419 0.819 0.804
0.485 0.386 0.304
0.485 0.600 0.181
0.515 0.400 0.819
0.515 0.614 0.696
0.581 0.181 0.196
0.581 0.900 0.386
0.600 0.181 0.485
0.600 0.919 0.114
0.614 0.419 0.100
0.614 0.696 0.515
0.681 0.081 0.696
0.681 0.100 0.985
0.696 0.515 0.614
0.696 0.681 0.081
0.804 0.419 0.819
0.804 0.886 0.985
0.819 0.515 0.400
0.819 0.804 0.419
0.886 0.400 0.081
0.886 0.985 0.804
0.900 0.015 0.319
0.900 0.386 0.581
0.919 0.114 0.600
0.919 0.304 0.319
0.985 0.681 0.100
0.985 0.804 0.886
```

Summary:
The formation energy from raw total energies comes out at -0.787 eV/atom. As for the total energy: -778.6 eV per cell. Its density of states at the Fermi level is 24.59 states/eV per cell. For the total magnetization, the calculation gives 0.00 μB/cell.



No. 5
A geometry-optimized Pm4WN5 structure. Source: Alexandria, functional PBE-GGA.

```
Pm4WN5
1.0
-3.860 3.860 2.564
3.860 -3.860 2.564
3.860 3.860 -2.564
Pm W N
4 1 5
direct
0.105 0.305 0.410
0.305 0.895 0.200
0.695 0.105 0.800
0.895 0.695 0.590
0.561 0.561 0.000
0.239 0.590 0.829
0.411 0.239 0.650
0.590 0.761 0.350
0.761 0.411 0.171
0.924 0.924 0.000
```

Summary:
The formation energy from raw total energies comes out at -1.148 eV/atom. As for the total energy: -85.1 eV per cell. Its density of states at the Fermi level is 3.11 states/eV per cell. For the total magnetization, the calculation gives 0.00 μB/cell.



No. 6
A geometry-optimized Pm2WN structure. Source: Alexandria, functional PBE-GGA.

```
Pm2WN
1.0
1.648 0.951 8.894
-1.648 0.951 8.894
0.000 -1.903 8.894
Pm W N
2 1 1
direct
0.111 0.111 0.111
0.889 0.889 0.889
0.000 0.000 0.000
0.500 0.500 0.500
```

Summary:
The formation energy from raw total energies comes out at 0.211 eV/atom. As for the total energy: -29.9 eV per cell. Its density of states at the Fermi level is 5.09 states/eV per cell. For the total magnetization, the calculation gives 0.05 μB/cell.



No. 7
A geometry-optimized Pm4W3N10 structure. Source: Alexandria, functional PBE-GGA.

```
Pm4W3N10
1.0
-1.993 1.993 14.143
1.993 -1.993 14.143
1.993 1.993 -14.143
Pm W N
4 3 10
direct
0.068 0.068 0.000
0.202 0.202 0.000
0.798 0.798 0.000
0.932 0.932 0.000
0.357 0.357 0.000
0.500 0.500 0.000
0.643 0.643 0.000
0.000 0.500 0.500
0.141 0.641 0.500
0.286 0.286 0.000
0.359 0.859 0.500
0.429 0.429 0.000
0.500 0.000 0.500
0.571 0.571 0.000
0.641 0.141 0.500
0.714 0.714 0.000
0.859 0.359 0.500
```

Summary:
The formation energy from raw total energies comes out at -0.938 eV/atom. As for the total energy: -157.1 eV per cell. Its density of states at the Fermi level is 3.18 states/eV per cell. For the total magnetization, the calculation gives 0.00 μB/cell.



No. 8
A geometry-optimized Pm2WN4 structure. Source: Alexandria, functional PBE-GGA.

```
Pm2WN4
1.0
0.000 5.289 6.430
3.343 0.000 6.430
3.343 5.289 0.000
Pm W N
4 2 8
direct
0.067 0.683 0.067
0.317 0.933 0.317
0.683 0.067 0.683
0.933 0.317 0.933
0.375 0.375 0.375
0.625 0.625 0.625
0.173 0.725 0.345
0.256 0.345 0.725
0.275 0.827 0.744
0.345 0.256 0.173
0.655 0.744 0.827
0.725 0.173 0.256
0.744 0.655 0.275
0.827 0.275 0.655
```

Summary:
The calculation puts the energy above the most stable polymorph in this dataset at 0.000 eV per atom. The formation energy from raw total energies comes out at -1.160 eV/atom. As for the total energy: -127.7 eV per cell. For the total magnetization, the calculation gives 0.00 μB/cell.